MnTlCo2: relaxed, PBE.

Output
Theoretical density, g cm⁻³: 11.25
Formation enthalpy at 0 K, meV per atom: 330.8
Calculated total energy, eV/cell: -24.4
E above lowest polymorph, eV/atom: 0.000

abc: 3.0052 3.0052 6.1640
angles: 90.00 90.00 90.00
With the nearest neighbours (Å) after each atom.
Atoms (fractional coordinates):
Mn 0.0000 0.0000 0.0000  8 Co 2.49
Tl 0.0000 0.0000 0.5000  8 Co 2.78, 4 Tl 3.01, 2 Mn 3.08
Co 0.5000 0.5000 0.2093  4 Mn 2.49, 1 Co 2.58, 4 Tl 2.78
Co 0.5000 0.5000 0.7907  4 Mn 2.49, 1 Co 2.58, 4 Tl 2.78